DFT (SCAN) results for a crystal of ZnCu2 relaxed with PBEsol.

Unit cell a=4.8873 b=4.8873 c=6.1123 alpha=105.63 beta=105.63 gamma=30.75
With the nearest neighbours (Å) after each atom.
Fractional coordinates of all 6 atoms:
1 Zn 0.1902 0.1902 0.1433  8 Cu 2.54-2.57, 4 Zn 2.59-2.67
2 Zn 0.8098 0.8098 0.8567  8 Cu 2.54-2.57, 4 Zn 2.59-2.67
3 Cu 0.1382 0.1382 0.5291  9 Cu 2.53-2.59, 3 Zn 2.54-2.55
4 Cu 0.4709 0.4709 0.1994  7 Cu 2.54-2.64, 5 Zn 2.54-2.57
5 Cu 0.5291 0.5291 0.8006  7 Cu 2.54-2.64, 5 Zn 2.54-2.57
6 Cu 0.8618 0.8618 0.4709  9 Cu 2.53-2.59, 3 Zn 2.54-2.55

## Properties
The total energy is -88.18 eV/cell. For the formation energy, the calculation gives -0.058 eV per atom.